*a*
The following is a GGA-PBE calculation of CaNb2As2 after structural relaxation, from Alexandria.

Results
DOS at the Fermi energy in states/eV per cell: 1.53
Volume in Å³/f.u.: 108.0

Cell lengths 5.605, 5.605, 5.605 Å; angles 127.30, 127.30, 77.77 degrees
Fractional coordinates of all 5 atoms:
1 Ca 0.000 0.000 0.000
2 Nb 0.361 0.361 0.000
3 Nb 0.639 0.639 0.000
4 As 0.250 0.750 0.500
5 As 0.750 0.250 0.500

---

*b*
The following is a GGA-PBE calculation of CaNb2As2 after structural relaxation, from Alexandria.

Results
DOS at the Fermi energy in states/eV per cell: 4.46
Volume in Å³/f.u.: 94.8

Cell lengths 7.469, 7.469, 3.399 Å; angles 90.00, 90.00, 90.00 degrees
Fractional coordinates of all 10 atoms:
1 Ca 0.000 0.000 0.000
2 Ca 0.500 0.500 0.000
3 Nb 0.144 0.356 0.500
4 Nb 0.356 0.856 0.500
5 Nb 0.644 0.144 0.500
6 Nb 0.856 0.644 0.500
7 As 0.144 0.644 0.000
8 As 0.356 0.144 0.000
9 As 0.644 0.856 0.000
10 As 0.856 0.356 0.000

---

*c*
The following is a GGA-PBE calculation of CaNb2As2 after structural relaxation, from Alexandria.

Results
DOS at the Fermi energy in states/eV per cell: 2.02
Volume in Å³/f.u.: 106.3

Cell lengths 7.139, 7.139, 7.139 Å; angles 147.21, 147.21, 47.05 degrees
Fractional coordinates of all 5 atoms:
1 Ca 0.000 0.000 0.000
2 Nb 0.250 0.750 0.500
3 Nb 0.750 0.250 0.500
4 As 0.384 0.384 0.000
5 As 0.616 0.616 0.000

---

Going by the computed energies, the most stable comes first: *c*, *b*, *a*.

---

*a*
The following is a GGA-PBE calculation of CaNdAs2 after structural relaxation, from Alexandria.

Results
DOS at the Fermi energy in states/eV per cell: 3.99
Volume in Å³/f.u.: 110.1

Cell lengths 7.456, 7.456, 7.456 Å; angles 33.12, 33.12, 33.12 degrees
Fractional coordinates of all 4 atoms:
1 Ca 0.000 0.000 0.000
2 Nd 0.500 0.500 0.500
3 As 0.249 0.249 0.249
4 As 0.751 0.751 0.751

---

*b*
The following is a GGA-PBE calculation of CaNdAs2 after structural relaxation, from Alexandria.

Results
DOS at the Fermi energy in states/eV per cell: 3.75
Volume in Å³/f.u.: 112.0

Cell lengths 7.407, 7.407, 7.407 Å; angles 33.79, 33.79, 33.79 degrees
Fractional coordinates of all 4 atoms:
1 Ca 0.000 0.000 0.000
2 Nd 0.173 0.173 0.173
3 As 0.586 0.586 0.586
4 As 0.756 0.756 0.756

---

Going by the computed energies, the most stable comes first: *a*, *b*.

---

*a*
The following is a GGA-PBE calculation of Ca2Ni12As7 after structural relaxation, from Alexandria.

Results
DOS at the Fermi energy in states/eV per cell: 14.08
Volume in Å³/f.u.: 296.4

Cell lengths 9.461, 9.461, 3.823 Å; angles 90.00, 90.00, 120.00 degrees
Fractional coordinates of all 21 atoms:
1 Ca 0.333 0.667 0.247
2 Ca 0.667 0.333 0.753
3 Ni 0.055 0.431 0.750
4 Ni 0.117 0.257 0.235
5 Ni 0.141 0.883 0.235
6 Ni 0.257 0.141 0.765
7 Ni 0.377 0.945 0.750
8 Ni 0.431 0.377 0.250
9 Ni 0.569 0.623 0.750
10 Ni 0.623 0.055 0.250
11 Ni 0.743 0.859 0.235
12 Ni 0.859 0.117 0.765
13 Ni 0.883 0.743 0.765
14 Ni 0.945 0.569 0.250
15 As 0.000 0.000 0.500
16 As 0.113 0.705 0.746
17 As 0.295 0.408 0.746
18 As 0.408 0.113 0.254
19 As 0.592 0.887 0.746
20 As 0.705 0.592 0.254
21 As 0.887 0.295 0.254

---

*b*
The following is a GGA-PBE calculation of Ca2Ni12As7 after structural relaxation, from Alexandria.

Results
DOS at the Fermi energy in states/eV per cell: 13.48
Volume in Å³/f.u.: 294.5

Cell lengths 9.419, 9.419, 3.832 Å; angles 90.00, 90.00, 120.00 degrees
Fractional coordinates of all 21 atoms:
1 Ca 0.000 0.000 0.000
2 Ca 0.333 0.667 0.500
3 Ni 0.048 0.770 0.500
4 Ni 0.090 0.381 0.000
5 Ni 0.230 0.278 0.500
6 Ni 0.291 0.910 0.000
7 Ni 0.459 0.239 0.000
8 Ni 0.515 0.054 0.500
9 Ni 0.540 0.485 0.500
10 Ni 0.619 0.709 0.000
11 Ni 0.722 0.952 0.500
12 Ni 0.761 0.220 0.000
13 Ni 0.780 0.541 0.000
14 Ni 0.946 0.460 0.500
15 As 0.072 0.632 0.000
16 As 0.262 0.046 0.500
17 As 0.368 0.440 0.000
18 As 0.560 0.928 0.000
19 As 0.667 0.333 0.500
20 As 0.783 0.738 0.500
21 As 0.954 0.217 0.500

---

Going by the computed energies, the most stable comes first: *b*, *a*.

---

*a*
The following is a GGA-PBE calculation of CaNiAs2Se after structural relaxation, from Alexandria.

Results
DOS at the Fermi energy in states/eV per cell: 5.74
Volume in Å³/f.u.: 109.8

Cell lengths 4.560, 4.560, 5.279 Å; angles 90.00, 90.00, 90.00 degrees
Fractional coordinates of all 5 atoms:
1 Ca 0.000 0.000 0.000
2 Ni 0.500 0.500 0.500
3 As 0.000 0.500 0.500
4 As 0.500 0.000 0.500
5 Se 0.500 0.500 0.000

---

*b*
The following is a GGA-PBE calculation of CaNiAs2Se after structural relaxation, from Alexandria.

Results
DOS at the Fermi energy in states/eV per cell: 10.43
Volume in Å³/f.u.: 150.2

Cell lengths 5.339, 5.339, 5.271 Å; angles 90.00, 90.00, 90.00 degrees
Fractional coordinates of all 5 atoms:
1 Ca 0.000 0.000 0.000
2 Ni 0.500 0.500 0.500
3 As 0.000 0.500 0.000
4 As 0.500 0.000 0.000
5 Se 0.000 0.000 0.500

---

Going by the computed energies, the most stable comes first: *a*, *b*.

---

*a*
The following is a GGA-PBE calculation of Ca4As2O after structural relaxation, from Alexandria.

Results
DOS at the Fermi energy in states/eV per cell: 0.19
Volume in Å³/f.u.: 161.2

Cell lengths 6.312, 6.312, 7.603 Å; angles 115.44, 115.44, 36.63 degrees
Fractional coordinates of all 7 atoms:
1 Ca 0.067 0.067 0.358
2 Ca 0.347 0.347 0.937
3 Ca 0.653 0.653 0.063
4 Ca 0.933 0.933 0.642
5 As 0.338 0.338 0.314
6 As 0.662 0.662 0.686
7 O 0.000 0.000 0.000

---

*b*
The following is a GGA-PBE calculation of Ca4As2O after structural relaxation, from Alexandria.

Results
Volume in Å³/f.u.: 161.6

Cell lengths 8.393, 8.393, 8.393 Å; angles 148.42, 148.42, 45.26 degrees
Fractional coordinates of all 7 atoms:
1 Ca 0.000 0.500 0.500
2 Ca 0.172 0.172 0.000
3 Ca 0.500 0.000 0.500
4 Ca 0.828 0.828 0.000
5 As 0.363 0.363 0.000
6 As 0.637 0.637 0.000
7 O 0.000 0.000 0.000

---

Going by the computed energies, the most stable comes first: *b*, *a*.

---

*a*
The following is a GGA-PBE calculation of Ca2AsO after structural relaxation, from Alexandria.

Results
DOS at the Fermi energy in states/eV per cell: 2.54
Volume in Å³/f.u.: 80.2

Cell lengths 4.841, 4.841, 4.841 Å; angles 60.00, 60.00, 60.00 degrees
Fractional coordinates of all 4 atoms:
1 Ca 0.250 0.250 0.250
2 Ca 0.750 0.750 0.750
3 As 0.000 0.000 0.000
4 O 0.500 0.500 0.500

---

*b*
The following is a GGA-PBE calculation of Ca2AsO after structural relaxation, from Alexandria.

Results
DOS at the Fermi energy in states/eV per cell: 0.02
Volume in Å³/f.u.: 91.6

Cell lengths 6.245, 6.245, 6.245 Å; angles 114.75, 114.75, 99.36 degrees
Fractional coordinates of all 8 atoms:
1 Ca 0.036 0.625 0.911
2 Ca 0.375 0.286 0.411
3 Ca 0.714 0.125 0.089
4 Ca 0.875 0.964 0.589
5 As 0.250 0.750 0.500
6 As 0.500 0.500 0.000
7 O 0.000 0.000 0.000
8 O 0.750 0.250 0.500

---

Going by the computed energies, the most stable comes first: *b*, *a*.